# 1
## SnPdS2N (SCAN)

Data for a crystal of SnPdS2N relaxed with PBEsol.

Values from the calculation:
As for the crystal system: tetragonal. Its space group is P4/mmm.

a = 4.9718 Å, b = 4.9718 Å, c = 3.9427 Å
α = 90.00°, β = 90.00°, γ = 90.00°
Last column: nearest neighbours and their distance in Å.
Fractional positions:
Sn 0.0000 0.0000 0.0000  2 N 1.97
Pd 0.5000 0.5000 0.5000  8 S 3.17, 4 N 3.52
S 0.0000 0.5000 0.0000  2 Sn 2.49
S 0.5000 0.0000 0.0000  2 Sn 2.49
N 0.0000 0.0000 0.5000  2 Sn 1.97


# 2
## TcPdSN2 (SCAN)

Data for a crystal of TcPdSN2 relaxed with PBEsol.

Values from the calculation:
As for the crystal system: tetragonal. Its space group is P4/mmm.

a = 3.8142 Å, b = 3.8142 Å, c = 4.7800 Å
α = 90.00°, β = 90.00°, γ = 90.00°
Last column: nearest neighbours and their distance in Å.
Fractional positions:
Tc 0.0000 0.0000 0.0000  4 S 2.70
Pd 0.5000 0.5000 0.5000  4 N 1.91
S 0.5000 0.5000 0.0000  2 Pd 2.39
N 0.0000 0.5000 0.5000  2 Pd 1.91
N 0.5000 0.0000 0.5000  2 Pd 1.91


# 3
## ZrPdSN2 (SCAN)

Data for a crystal of ZrPdSN2 relaxed with PBEsol.

Values from the calculation:
As for the crystal system: tetragonal. Its space group is P4/mmm.

a = 3.8915 Å, b = 3.8915 Å, c = 4.4943 Å
α = 90.00°, β = 90.00°, γ = 90.00°
Last column: nearest neighbours and their distance in Å.
Fractional positions:
Zr 0.0000 0.0000 0.0000  4 S 2.75, 8 N 2.97
Pd 0.5000 0.5000 0.5000  4 N 1.95
S 0.5000 0.5000 0.0000  2 Pd 2.25
N 0.0000 0.5000 0.5000  2 Pd 1.95
N 0.5000 0.0000 0.5000  2 Pd 1.95


# 4
## SbPd3N (SCAN)

Data for a crystal of SbPd3N relaxed with PBEsol.

Values from the calculation:
As for the crystal system: cubic. Its space group is Pm-3m.

a = 4.8866 Å, b = 4.8866 Å, c = 4.8866 Å
α = 90.00°, β = 90.00°, γ = 90.00°
Last column: nearest neighbours and their distance in Å.
Fractional positions:
Sb 0.0000 0.0000 0.0000  6 Pd 2.44
Pd 0.0000 0.0000 0.5000  2 Sb 2.44
Pd 0.0000 0.5000 0.0000  2 Sb 2.44
Pd 0.5000 0.0000 0.0000  2 Sb 2.44
N 0.5000 0.5000 0.5000  12 Pd 3.46


# 5
## SbPdSeN2 (SCAN)

Data for a crystal of SbPdSeN2 relaxed with PBEsol.

Values from the calculation:
As for the crystal system: tetragonal. Its space group is P4/mmm.

a = 3.9183 Å, b = 3.9183 Å, c = 5.6080 Å
α = 90.00°, β = 90.00°, γ = 90.00°
Last column: nearest neighbours and their distance in Å.
Fractional positions:
Sb 0.0000 0.0000 0.0000  4 N 1.96
Pd 0.5000 0.5000 0.5000  4 Se 2.77
Se 0.0000 0.0000 0.5000  4 Pd 2.77, 2 Sb 2.80
N 0.0000 0.5000 0.0000  2 Sb 1.96
N 0.5000 0.0000 0.0000  2 Sb 1.96


# 6
## YSbPd2N (SCAN)

Data for a crystal of YSbPd2N relaxed with PBEsol.

Values from the calculation:
As for the crystal system: tetragonal. Its space group is P4/mmm.

a = 4.2213 Å, b = 4.2213 Å, c = 4.7828 Å
α = 90.00°, β = 90.00°, γ = 90.00°
Last column: nearest neighbours and their distance in Å.
Fractional positions:
Y 0.0000 0.0000 0.0000  4 Sb 2.98, 8 Pd 3.19
Sb 0.5000 0.5000 0.0000  2 N 2.39
Pd 0.0000 0.5000 0.5000  2 N 2.11
Pd 0.5000 0.0000 0.5000  2 N 2.11
N 0.5000 0.5000 0.5000  4 Pd 2.11


no.,ΔE_f (raw) (eV per atom),M_tot (μB per formula unit)
1,1.017,3.022
2,1.573,1.319
3,0.608,0.000
4,1.467,1.815
5,1.288,2.152
6,-0.155,0.000